Entry 1:
## YPd4Au5 (PBE)

Data for YPd4Au5 after structural relaxation.

Cell lengths 4.9470, 7.7863, 9.8560 Å; angles 90.00, 90.00, 90.00 degrees
With the nearest neighbours (Å) after each atom.
Sites, in units of the cell vectors:
1 Y 0.9326 0.0000 0.0000  4 Pd 2.85-2.95
2 Au 0.2464 0.8224 0.7381  4 Au 2.70-2.77, 4 Pd 2.76-2.97
3 Pd 0.2669 0.5000 0.8528  8 Au 2.76-3.03, 3 Pd 2.90-2.93
4 Pd 0.7331 0.0000 0.3528  8 Au 2.76-3.03, 3 Pd 2.90-2.93
5 Au 0.7536 0.6776 0.7619  4 Au 2.70-2.77, 4 Pd 2.76-2.97
6 Pd 0.5554 0.3064 0.5000  5 Au 2.76-2.97, 2 Y 2.85-2.95, 3 Pd 2.93-3.01
7 Pd 0.2669 0.5000 0.1472  8 Au 2.76-3.03, 3 Pd 2.90-2.93
8 Au 0.2164 0.0000 0.5000  4 Au 2.73, 6 Pd 2.80-2.94
9 Au 0.7536 0.3224 0.2381  4 Au 2.70-2.77, 4 Pd 2.76-2.97
10 Y 0.0674 0.5000 0.5000  4 Pd 2.85-2.95
11 Au 0.2464 0.8224 0.2619  4 Au 2.70-2.77, 4 Pd 2.76-2.97
12 Pd 0.4446 0.8064 0.0000  5 Au 2.76-2.97, 2 Y 2.85-2.95, 3 Pd 2.93-3.01
13 Au 0.7836 0.5000 0.0000  4 Au 2.73, 6 Pd 2.80-2.94
14 Pd 0.7331 0.0000 0.6472  8 Au 2.76-3.03, 3 Pd 2.90-2.93
15 Au 0.7536 0.3224 0.7619  4 Au 2.70-2.77, 4 Pd 2.76-2.97
16 Pd 0.5554 0.6936 0.5000  5 Au 2.76-2.97, 2 Y 2.85-2.95, 3 Pd 2.93-3.01
17 Au 0.2464 0.1776 0.7381  4 Au 2.70-2.77, 4 Pd 2.76-2.97
18 Au 0.2464 0.1776 0.2619  4 Au 2.70-2.77, 4 Pd 2.76-2.97
19 Pd 0.4446 0.1936 0.0000  5 Au 2.76-2.97, 2 Y 2.85-2.95, 3 Pd 2.93-3.01
20 Au 0.7536 0.6776 0.2381  4 Au 2.70-2.77, 4 Pd 2.76-2.97

Calculated values
offset from the most stable computed form: 9.9 kJ per mole of atoms
E_form: -24.26 kJ per mole of atoms
E: -0.1695 hartree per atom
total moment: 0.00 μB per formula unit

***

Entry 2:
## SrCo2Mo (PBE)

Data for SrCo2Mo after structural relaxation.

Cell lengths 5.3095, 5.3095, 5.3095 Å; angles 138.03, 138.03, 60.85 degrees
With the nearest neighbours (Å) after each atom.
Sites, in units of the cell vectors:
1 Co 0.2500 0.7500 0.5000  4 Sr 2.69, 4 Mo 2.98, 4 Co 2.98
2 Sr 0.7500 0.2500 0.5000  8 Co 2.69-2.98, 4 Mo 2.98
3 Mo 0.5000 0.5000 0.0000  8 Co 2.69-2.98, 4 Sr 2.98
4 Co 0.0000 0.0000 0.0000  4 Mo 2.69, 4 Co 2.98, 4 Sr 2.98

Calculated values
E_form: 104.39 kJ per mole of atoms
E: -0.2058 hartree per atom
total moment: 0.01 μB per formula unit

***

Entry 3:
## TaMnAl2 (PBE)

Data for TaMnAl2 after structural relaxation.

Cell lengths 4.3237, 4.3237, 4.3237 Å; angles 60.00, 60.00, 60.00 degrees
With the nearest neighbours (Å) after each atom.
Sites, in units of the cell vectors:
1 Ta 0.7500 0.7500 0.7500  4 Mn 2.65, 4 Al 2.65
2 Al 0.0000 0.0000 0.0000  4 Ta 2.65, 4 Al 2.65
3 Mn 0.5000 0.5000 0.5000  4 Al 2.65, 4 Ta 2.65
4 Al 0.2500 0.2500 0.2500  4 Al 2.65, 4 Mn 2.65

Calculated values
offset from the most stable computed form: 1.9 kJ per mole of atoms
E_form: -18.91 kJ per mole of atoms
E: -0.2691 hartree per atom
total moment: 0.00 μB per formula unit

***

Entry 4:
## Sm6YEr4 (PBE)

Data for Sm6YEr4 after structural relaxation.

Cell lengths 6.6117, 6.6117, 9.7735 Å; angles 109.77, 109.77, 90.00 degrees
With the nearest neighbours (Å) after each atom.
Sites, in units of the cell vectors:
1 Er 0.9487 0.9487 0.2563  7 Sm 3.28-3.57, 1 Er 3.36
2 Sm 0.8649 0.4880 0.3529  5 Er 3.36-3.57, 1 Y 3.50, 1 Sm 3.52
3 Sm 0.1351 0.1351 0.6471  5 Er 3.36-3.57, 1 Y 3.50, 1 Sm 3.52
4 Y 0.5000 0.5000 0.0000  8 Sm 3.31-3.50
5 Er 0.6924 0.0513 0.7437  7 Sm 3.28-3.57, 1 Er 3.36
6 Er 0.0513 0.6924 0.7437  7 Sm 3.28-3.57, 1 Er 3.36
7 Sm 0.5000 0.0000 0.0000  4 Er 3.28, 2 Y 3.31
8 Er 0.3076 0.3076 0.2563  7 Sm 3.28-3.57, 1 Er 3.36
9 Sm 0.0000 0.5000 0.0000  4 Er 3.28, 2 Y 3.31
10 Sm 0.5120 0.5120 0.6471  5 Er 3.36-3.57, 1 Y 3.50, 1 Sm 3.52
11 Sm 0.4880 0.8649 0.3529  5 Er 3.36-3.57, 1 Y 3.50, 1 Sm 3.52

Calculated values
offset from the most stable computed form: 18.7 kJ per mole of atoms
E_form: 30.03 kJ per mole of atoms
E: -0.1657 hartree per atom
total moment: 0.00 μB per formula unit

***

Entry 5:
## TcMo2Ru (PBE)

Data for TcMo2Ru after structural relaxation.

Cell lengths 5.1313, 5.1313, 5.1313 Å; angles 144.45, 128.53, 64.12 degrees
With the nearest neighbours (Å) after each atom.
Sites, in units of the cell vectors:
1 Ru 0.7500 0.2500 0.5000  4 Tc 2.72, 4 Mo 2.75
2 Tc 0.2500 0.7500 0.5000  4 Mo 2.61, 4 Ru 2.72
3 Mo 0.0103 0.0103 0.0000  2 Tc 2.61, 4 Mo 2.73, 2 Ru 2.75
4 Mo 0.4897 0.4897 0.0000  2 Tc 2.61, 4 Mo 2.73, 2 Ru 2.75

Calculated values
offset from the most stable computed form: 6.6 kJ per mole of atoms
E_form: 16.45 kJ per mole of atoms
E: -0.3732 hartree per atom
total moment: 0.00 μB per formula unit

***

Entry 6:
## Rb3Pd2Cl7 (PBE)

Data for Rb3Pd2Cl7 after structural relaxation.

Cell lengths 4.9882, 5.0625, 13.2616 Å; angles 101.00, 90.00, 90.00 degrees
With the nearest neighbours (Å) after each atom.
Sites, in units of the cell vectors:
1 Cl 0.0000 0.8088 0.6176  1 Pd 2.49
2 Cl 0.0000 0.4057 0.8115  2 Pd 2.53
3 Rb 0.5000 0.3200 0.6401  8 Cl 3.35-3.57
4 Cl 0.0000 0.1912 0.3824  1 Pd 2.49
5 Cl 0.5000 0.0949 0.1898  2 Pd 2.49
6 Rb 0.5000 0.5000 0.0000  12 Cl 3.50-3.55
7 Cl 0.5000 0.9051 0.8102  2 Pd 2.49
8 Cl 0.0000 0.0000 0.0000  2 Pd 2.49
9 Pd 0.0000 0.9044 0.8088  6 Cl 2.49-2.53
10 Cl 0.0000 0.5943 0.1885  2 Pd 2.53
11 Pd 0.0000 0.0956 0.1912  6 Cl 2.49-2.53
12 Rb 0.5000 0.6800 0.3599  8 Cl 3.35-3.57

Calculated values
offset from the most stable computed form: 1.6 kJ per mole of atoms
formation energy without anion corrections: -14.5 eV/f.u.
E: -0.1246 hartree per atom
total moment: 0.00 μB per formula unit

***

Entry 7:
## Te3IrPd (PBE)

Data for Te3IrPd after structural relaxation.

Cell lengths 4.0957, 5.5240, 10.7309 Å; angles 90.00, 101.00, 90.00 degrees
With the nearest neighbours (Å) after each atom.
Sites, in units of the cell vectors:
1 Te 0.9441 0.7161 0.8881  1 Ir 2.72, 4 Pd 2.75-2.81
2 Ir 0.8250 0.5254 0.6500  6 Te 2.66-2.72
3 Te 0.2883 0.8114 0.5766  3 Ir 2.66-2.70
4 Te 0.3712 0.2628 0.7423  2 Ir 2.69, 1 Pd 2.70
5 Ir 0.1750 0.0254 0.3500  6 Te 2.66-2.72
6 Te 0.7117 0.3114 0.4234  3 Ir 2.66-2.70
7 Pd 0.4817 0.0152 0.9633  5 Te 2.70-2.81, 2 Pd 2.87
8 Te 0.0559 0.2161 0.1119  1 Ir 2.72, 4 Pd 2.75-2.81
9 Te 0.6288 0.7628 0.2577  2 Ir 2.69, 1 Pd 2.70
10 Pd 0.5183 0.5152 0.0367  5 Te 2.70-2.81, 2 Pd 2.87

Calculated values
offset from the most stable computed form: 0.0 kJ per mole of atoms
formation energy without anion corrections: -1.5 eV/f.u.
E: -0.1834 hartree per atom
total moment: 0.00 μB per formula unit

***

Entry 8:
## ErSn2Pd (PBE)

Data for ErSn2Pd after structural relaxation.

Cell lengths 4.3893, 4.4835, 4.4835 Å; angles 90.00, 90.00, 90.00 degrees
With the nearest neighbours (Å) after each atom.
Sites, in units of the cell vectors:
1 Sn 0.0000 0.0000 0.5000  4 Pd 3.14, 4 Er 3.14, 4 Sn 3.17
2 Er 0.5000 0.0000 0.0000  8 Sn 3.14, 4 Pd 3.17
3 Sn 0.0000 0.5000 0.0000  4 Pd 3.14, 4 Er 3.14, 4 Sn 3.17
4 Pd 0.5000 0.5000 0.5000  8 Sn 3.14, 4 Er 3.17

Calculated values
E_form: -56.54 kJ per mole of atoms
E: -0.1847 hartree per atom
total moment: 0.00 μB per formula unit

***

> What is the total moment in the first record?

0.00 μB per formula unit

***

Repeat the fourth record exactly.
## Sm6YEr4 (PBE)

Data for Sm6YEr4 after structural relaxation.

Cell lengths 6.6117, 6.6117, 9.7735 Å; angles 109.77, 109.77, 90.00 degrees
With the nearest neighbours (Å) after each atom.
Sites, in units of the cell vectors:
1 Er 0.9487 0.9487 0.2563  7 Sm 3.28-3.57, 1 Er 3.36
2 Sm 0.8649 0.4880 0.3529  5 Er 3.36-3.57, 1 Y 3.50, 1 Sm 3.52
3 Sm 0.1351 0.1351 0.6471  5 Er 3.36-3.57, 1 Y 3.50, 1 Sm 3.52
4 Y 0.5000 0.5000 0.0000  8 Sm 3.31-3.50
5 Er 0.6924 0.0513 0.7437  7 Sm 3.28-3.57, 1 Er 3.36
6 Er 0.0513 0.6924 0.7437  7 Sm 3.28-3.57, 1 Er 3.36
7 Sm 0.5000 0.0000 0.0000  4 Er 3.28, 2 Y 3.31
8 Er 0.3076 0.3076 0.2563  7 Sm 3.28-3.57, 1 Er 3.36
9 Sm 0.0000 0.5000 0.0000  4 Er 3.28, 2 Y 3.31
10 Sm 0.5120 0.5120 0.6471  5 Er 3.36-3.57, 1 Y 3.50, 1 Sm 3.52
11 Sm 0.4880 0.8649 0.3529  5 Er 3.36-3.57, 1 Y 3.50, 1 Sm 3.52

Calculated values
offset from the most stable computed form: 18.7 kJ per mole of atoms
E_form: 30.03 kJ per mole of atoms
E: -0.1657 hartree per atom
total moment: 0.00 μB per formula unit